Entry 1:
Density functional theory data (PBE-GGA) for Ac2ErMg after structural relaxation.

Results
VASP energy   -3.587 eV/atom
Density   7.35 Mg/m³
Total magnetization   0.000 μB per cell
Energy relative to the lowest polymorph listed for this composition   0.000 eV per atom

The structure in CIF format:
```
data_Ac2ErMg
_chemical_formula_sum 'Ac2 Er1 Mg1'
_symmetry_space_group_name_H-M 'P 4/m m m'
_symmetry_Int_Tables_number 123
_symmetry_space_group_name_Hall '-P 4 2'
_cell_length_a 4.0295
_cell_length_b 4.0295
_cell_length_c 8.9830
_cell_angle_alpha 90.00
_cell_angle_beta 90.00
_cell_angle_gamma 90.00
loop_
_atom_site_label
_atom_site_type_symbol
_atom_site_fract_x
_atom_site_fract_y
_atom_site_fract_z
_atom_site_occupancy
Ac1 Ac 0.0000 0.0000 0.2350 1
Er1 Er 0.5000 0.5000 0.5000 1
Mg1 Mg 0.5000 0.5000 0.0000 1
```

Entry 2:
Density functional theory data (PBE-GGA) for AcEr2Mg after structural relaxation.

Results
VASP energy   -3.602 eV/atom
Density   7.41 Mg/m³
Total magnetization   0.000 μB per cell
Energy relative to the lowest polymorph listed for this composition   0.095 eV per atom

The structure in CIF format:
```
data_AcEr2Mg
_chemical_formula_sum 'Ac3 Er6 Mg3'
_symmetry_space_group_name_H-M 'R 3 m'
_symmetry_Int_Tables_number 160
_symmetry_space_group_name_Hall 'R 3 -2"'
_cell_length_a 3.6587
_cell_length_b 3.6587
_cell_length_c 33.9724
_cell_angle_alpha 90.00
_cell_angle_beta 90.00
_cell_angle_gamma 120.00
loop_
_atom_site_label
_atom_site_type_symbol
_atom_site_fract_x
_atom_site_fract_y
_atom_site_fract_z
_atom_site_occupancy
Ac1 Ac 0.0000 0.0000 0.0000 1
Er1 Er 0.0000 0.0000 0.2421 1
Er2 Er 0.0000 0.0000 0.4252 1
Mg1 Mg 0.0000 0.0000 0.8339 1
```

Taking the records one at a time from the top gives volume values of 145.86, 393.84 Å³/cell.